The following is a PBE-GGA calculation of a relaxed SrSeIO2 crystal, from Alexandria via LeMat-Bulk. Values from VASP.

Results
space group = P4/mmm, No. 123
uncorrected formation energy = -0.238 eV per atom
energy relative to the lowest polymorph listed for this composition = 346.3 meV per atom
Fermi-level density of states = 4.52 states/eV/f.u.

```
&SYSTEM
  ibrav = 0, nat = 5, ntyp = 4
/
ATOMIC_SPECIES
Sr 87.62 Sr.upf
Se 78.96 Se.upf
I 126.90 I.upf
O 16.00 O.upf
CELL_PARAMETERS angstrom
4.488 0.000 0.000
0.000 4.488 0.000
0.000 0.000 7.802
ATOMIC_POSITIONS angstrom
Sr 0.000 0.000 0.000
Se 2.244 2.244 3.901
I 0.000 0.000 3.901
O 0.000 2.244 0.000
O 2.244 0.000 0.000
```


The following is a PBE-GGA calculation of a relaxed Zr4AsBr crystal, from Alexandria via LeMat-Bulk. Values from VASP.

Results
space group = F-43m, No. 216
uncorrected formation energy = 0.315 eV per atom
Fermi-level density of states = 5.62 states/eV/f.u.

```
&SYSTEM
  ibrav = 0, nat = 6, ntyp = 3
/
ATOMIC_SPECIES
Zr 91.22 Zr.upf
As 74.92 As.upf
Br 79.90 Br.upf
CELL_PARAMETERS angstrom
0.000 4.100 4.100
4.100 0.000 4.100
4.100 4.100 0.000
ATOMIC_POSITIONS angstrom
Zr 1.016 1.016 1.016
Zr 3.084 3.084 1.016
Zr 3.084 1.016 3.084
Zr 1.016 3.084 3.084
As 6.150 6.150 6.150
Br 4.100 4.100 4.100
```